Record 1
Compound: In2W
Source: Alexandria via LeMat-Bulk
Functional: PBE
Structure: optimized geometry

a b c (Å): 2.9366 2.9366 14.4209
angles (deg): 90.00 90.00 90.00
Space group I4/mmm (No. 139)
Unique sites:
In  0.0000  0.0000  0.1520 (multiplicity 4)
W  0.0000  0.0000  0.5000 (multiplicity 2)

Properties
Formation enthalpy at 0 K in meV per atom: 662
Density of states at the Fermi level in states/eV per cell: 5.73


Record 2
Compound: TiMnCl6
Source: Alexandria via LeMat-Bulk
Functional: PBE
Structure: optimized geometry

a b c (Å): 6.7513 11.7664 6.1366
angles (deg): 90.00 91.80 90.00
Space group C2/m (No. 12)
Unique sites:
Ti  0.0000  0.0000  0.0000 (multiplicity 2)
Mn  0.0000  0.0000  0.5000 (multiplicity 2)
Cl  0.1412  0.1395  0.2352 (multiplicity 8)
Cl  0.2196  0.5000  0.2233 (multiplicity 4)

Properties
Offset from the most stable computed form in eV/f.u.: 0.00
Raw formation energy in kJ per mole of atoms: -129.0
Density of states at the Fermi level in states/eV per cell: 0.42


Record 3
Compound: Rb2AsHBr6
Source: Alexandria via LeMat-Bulk
Functional: PBE
Structure: optimized geometry

a b c (Å): 7.1328 7.1328 11.9016
angles (deg): 90.00 90.00 90.00
Space group I4/mmm (No. 139)
Unique sites:
Rb  0.0000  0.5000  0.2500 (multiplicity 4)
As  0.0000  0.0000  0.0000 (multiplicity 2)
H  0.0000  0.0000  0.5000 (multiplicity 2)
Br  0.0000  0.0000  0.2225 (multiplicity 4)
Br  0.2367  0.2367  0.5000 (multiplicity 8)

Properties
Density of states at the Fermi level in states/eV per cell: 1.51
Energy in eV per atom: -2.71


Record 4
Compound: Re2Os
Source: Alexandria via LeMat-Bulk
Functional: PBE
Structure: optimized geometry

a b c (Å): 8.7076 3.8928 5.5139
angles (deg): 90.00 108.44 90.00
Space group C2/m (No. 12)
Unique sites:
Re  0.0000  0.0000  0.0000 (multiplicity 2)
Re  0.0000  0.0000  0.5000 (multiplicity 2)
Re  0.1665  0.5000  0.3301 (multiplicity 4)
Os  0.1666  0.5000  0.8356 (multiplicity 4)

Properties
Offset from the most stable computed form in eV/f.u.: 0.39
Formation enthalpy at 0 K in meV per atom: 54
Density of states at the Fermi level in states/eV per cell: 12.38